1.
Y2ScTaO | PBE-GGA | optimized geometry

Summary:
Formation energy from raw total energies = -949 meV/atom
Total energy = -8.163 eV/atom
Crystal system = tetragonal
Total magnetization = 0.0 μB per formula unit
N(E_F) = 6.0 states/eV per cell

Cell lengths 4.8293, 4.8293, 4.3294 Å; angles 90.00, 90.00, 90.00 degrees
With the nearest neighbours (Å) after each atom.
Space group P4/mmm (No. 123)
Unique sites:
Y 0.0000 0.5000 0.0000 x2  2 O 2.41
Sc 0.0000 0.0000 0.5000 x1  2 O 2.16
Ta 0.5000 0.5000 0.5000 x1  8 Y 3.24, 4 Sc 3.41
O 0.0000 0.0000 0.0000 x1  2 Sc 2.16, 4 Y 2.41

=====

2.
YSc2TaO | PBE-GGA | optimized geometry

Summary:
Formation energy from raw total energies = -987 meV/atom
Total energy = -8.175 eV/atom
Crystal system = tetragonal
Total magnetization = 0.0 μB per formula unit
N(E_F) = 4.5 states/eV per cell

Cell lengths 4.4084, 4.4084, 4.8216 Å; angles 90.00, 90.00, 90.00 degrees
With the nearest neighbours (Å) after each atom.
Space group P4/mmm (No. 123)
Unique sites:
Y 0.0000 0.0000 0.0000 x1  2 O 2.41
Sc 0.0000 0.5000 0.5000 x2  2 O 2.20
Ta 0.5000 0.5000 0.0000 x1  4 Y 3.12, 8 Sc 3.27
O 0.0000 0.0000 0.5000 x1  4 Sc 2.20, 2 Y 2.41

=====

3.
Zr2ScTaO | PBE-GGA | optimized geometry

Summary:
Formation energy from raw total energies = -1058 meV/atom
Total energy = -9.106 eV/atom
Crystal system = tetragonal
Total magnetization = 0.0 μB per formula unit
N(E_F) = 3.8 states/eV per cell

Cell lengths 4.5702, 4.5702, 4.2709 Å; angles 90.00, 90.00, 90.00 degrees
With the nearest neighbours (Å) after each atom.
Space group P4/mmm (No. 123)
Unique sites:
Zr 0.0000 0.5000 0.0000 x2  2 O 2.29
Sc 0.0000 0.0000 0.5000 x1  2 O 2.14
Ta 0.5000 0.5000 0.5000 x1  8 Zr 3.13, 4 Sc 3.23
O 0.0000 0.0000 0.0000 x1  2 Sc 2.14, 4 Zr 2.29

=====

4.
ZrSc2TaO | PBE-GGA | optimized geometry

Summary:
Formation energy from raw total energies = -1073 meV/atom
Total energy = -8.677 eV/atom
Crystal system = tetragonal
Total magnetization = 0.0 μB per formula unit
N(E_F) = 5.4 states/eV per cell

Cell lengths 4.3584, 4.3584, 4.6284 Å; angles 90.00, 90.00, 90.00 degrees
With the nearest neighbours (Å) after each atom.
Space group P4/mmm (No. 123)
Unique sites:
Zr 0.0000 0.0000 0.0000 x1  2 O 2.31
Sc 0.0000 0.5000 0.5000 x2  2 O 2.18
Ta 0.5000 0.5000 0.0000 x1  4 Zr 3.08, 8 Sc 3.18
O 0.0000 0.0000 0.5000 x1  4 Sc 2.18, 2 Zr 2.31

=====

5.
TbSc3O | PBE-GGA | optimized geometry

Summary:
Formation energy from raw total energies = -1020 meV/atom
Total energy = -6.737 eV/atom
Crystal system = cubic
Total magnetization = 0.0 μB per formula unit
N(E_F) = 8.4 states/eV per cell

Cell lengths 4.6415, 4.6415, 4.6415 Å; angles 90.00, 90.00, 90.00 degrees
With the nearest neighbours (Å) after each atom.
Space group Pm-3m (No. 221)
Unique sites:
Tb 0.0000 0.0000 0.0000 x1  12 Sc 3.28
Sc 0.0000 0.5000 0.5000 x3  2 O 2.32
O 0.5000 0.5000 0.5000 x1  6 Sc 2.32

=====

6.
TbScO | PBE-GGA | optimized geometry

Summary:
E above lowest polymorph = 5.07 kJ/mol of atoms
Formation energy from raw total energies = -1759 meV/atom
Total energy = -7.065 eV/atom
Crystal system = tetragonal
Total magnetization = 0.0 μB per formula unit
N(E_F) = 5.8 states/eV per cell

Cell lengths 3.9943, 3.9943, 7.4712 Å; angles 90.00, 90.00, 90.00 degrees
With the nearest neighbours (Å) after each atom.
Space group P4_2/mmc (No. 131)
Unique sites:
Tb 0.0000 0.0000 0.2500 x2  4 O 2.73
Sc 0.5000 0.5000 0.0000 x2  2 O 2.00
O 0.0000 0.5000 0.0000 x2  2 Sc 2.00

=====

7.
Tb3Sc5O12 | PBE-GGA | optimized geometry

Summary:
Formation energy from raw total energies = -3468 meV/atom
Total energy = -8.721 eV/atom
Crystal system = cubic
Total magnetization = 0.0 μB per formula unit
N(E_F) = 0.0 states/eV per cell

Cell lengths 12.8896, 12.8896, 12.8896 Å; angles 90.00, 90.00, 90.00 degrees
With the nearest neighbours (Å) after each atom.
Space group Ia-3d (No. 230)
Unique sites:
Tb 0.0000 0.2500 0.1250 x24  8 O 2.43-2.49
Sc 0.0000 0.0000 0.0000 x16  6 O 2.13
Sc 0.0000 0.2500 0.3750 x24  4 O 1.97
O 0.0242 0.0600 0.6521 x96  2 Sc 1.97-2.13

=====

8.
Tb2Sc2O | PBE-GGA | optimized geometry

Summary:
Formation energy from raw total energies = -1159 meV/atom
Total energy = -6.535 eV/atom
Crystal system = tetragonal
Total magnetization = 0.0 μB per formula unit
N(E_F) = 5.5 states/eV per cell

Cell lengths 5.0569, 5.0569, 4.2665 Å; angles 90.00, 90.00, 90.00 degrees
With the nearest neighbours (Å) after each atom.
Space group P4/mmm (No. 123)
Unique sites:
Tb 0.0000 0.5000 0.0000 x2  2 O 2.53
Sc 0.0000 0.0000 0.5000 x1  2 O 2.13
Sc 0.5000 0.5000 0.5000 x1  8 Tb 3.31, 4 Sc 3.58
O 0.0000 0.0000 0.0000 x1  2 Sc 2.13